The following is a GGA-PBEsol calculation of BaTiTl2Cu after structural relaxation, from Alexandria.

```
5
Lattice="5.100 0.000 0.000 0.000 5.108 0.000 0.000 0.000 5.108" Properties=species:S:1:pos:R:3 pbc="T T T"
Ti 2.550 0.000 0.000
Cu 0.000 0.000 0.000
Ba 2.550 2.554 2.554
Tl 0.000 0.000 2.554
Tl 0.000 2.554 0.000
```

## Properties
- Size of the total moment: 2.179 μB per formula unit
- Fermi-level density of states: 4.071 states/eV per cell
- Uncorrected energy: -18.7 eV per cell

***

The following is a GGA-PBEsol calculation of ScCdPb2 after structural relaxation, from Alexandria.

```
4
Lattice="-2.183 1.883 -2.011 1.723 -1.720 -3.481 -4.413 -4.875 0.225" Properties=species:S:1:pos:R:3 pbc="T T T"
Pb -1.075 -1.188 0.055
Pb -3.338 -3.687 0.170
Sc -0.230 0.081 -2.746
Cd -2.436 -2.356 -2.633
```

## Properties
- Size of the total moment: 0.000 μB per formula unit
- Fermi-level density of states: 2.742 states/eV per cell
- Uncorrected energy: -16.4 eV per cell

***

The following is a GGA-PBEsol calculation of Mn2AlRu after structural relaxation, from Alexandria.

```
4
Lattice="2.625 0.000 0.003 0.000 3.925 0.000 -1.205 0.000 4.748" Properties=species:S:1:pos:R:3 pbc="T T T"
Ru 0.811 0.000 2.340
Mn 2.314 0.000 0.036
Mn 1.975 1.962 1.141
Al -0.343 1.962 3.613
```

## Properties
- Size of the total moment: 0.198 μB per formula unit
- Fermi-level density of states: 3.507 states/eV per cell
- Uncorrected energy: -34.0 eV per cell

***

The following is a GGA-PBEsol calculation of SnMoS3 after structural relaxation, from Alexandria.

```
5
Lattice="4.861 0.000 0.000 0.000 4.861 0.000 0.000 0.000 4.861" Properties=species:S:1:pos:R:3 pbc="T T T"
S 0.000 2.430 0.000
S 0.000 0.000 2.430
S 2.430 0.000 0.000
Mo 2.430 2.430 2.430
Sn 0.000 0.000 0.000
```

## Properties
- Size of the total moment: 3.576 μB per formula unit
- Fermi-level density of states: 4.659 states/eV per cell
- Formation energy from raw total energies: 0.96 eV per atom

***

The following is a GGA-PBEsol calculation of KSi2Pt after structural relaxation, from Alexandria.

```
4
Lattice="-0.675 2.364 3.238 2.426 -0.265 3.252 4.374 5.159 -0.301" Properties=species:S:1:pos:R:3 pbc="T T T"
K 3.002 3.558 3.134
Si 5.089 6.027 4.319
Si 2.160 2.580 6.224
Pt 0.649 0.777 2.121
```

## Properties
- Size of the total moment: 0.001 μB per formula unit
- Fermi-level density of states: 2.989 states/eV per cell
- Formation energy from raw total energies: -0.34 eV per atom

***

The following is a GGA-PBEsol calculation of ZnPb2F6 after structural relaxation, from Alexandria.

```
36
Lattice="5.631 0.000 0.000 0.000 5.631 0.000 0.000 0.000 15.941" Properties=species:S:1:pos:R:3 pbc="T T T"
Pb 4.278 1.462 14.442
Pb 1.354 1.462 6.471
Pb 4.169 1.354 9.470
Pb 4.278 4.169 6.471
Pb 1.354 4.169 14.442
Pb 1.462 1.354 1.499
Pb 1.462 4.278 9.470
Pb 4.169 4.278 1.499
F 0.000 2.816 3.375
F 0.000 0.000 3.985
F 2.816 0.000 4.596
F 2.816 0.000 12.566
F 0.000 2.816 0.138
F 0.000 0.000 11.956
F 1.081 1.734 13.897
F 0.000 2.816 11.346
F 4.550 1.734 5.926
F 2.816 0.000 7.833
F 0.000 0.000 0.000
F 2.816 2.816 7.971
F 2.816 2.816 11.956
F 0.000 2.816 8.108
F 3.897 4.550 10.015
F 1.734 1.081 10.015
F 3.897 1.081 2.045
F 2.816 0.000 15.803
F 4.550 3.897 13.897
F 2.816 2.816 3.985
F 1.081 3.897 5.926
F 1.734 4.550 2.045
F 0.000 0.000 7.971
F 2.816 2.816 0.000
Zn 4.223 4.223 11.956
Zn 4.223 1.408 3.985
Zn 1.408 1.408 11.956
Zn 1.408 4.223 3.985
```

## Properties
- Size of the total moment: 0.000 μB per formula unit
- Fermi-level density of states: 0.000 states/eV per cell
- Formation energy from raw total energies: -2.33 eV per atom

***

The following is a GGA-PBEsol calculation of Sr2FeBr after structural relaxation, from Alexandria.

```
4
Lattice="-1.365 0.067 3.280 3.228 -4.303 1.432 3.997 3.529 1.592" Properties=species:S:1:pos:R:3 pbc="T T T"
Fe 1.316 1.798 2.436
Sr 0.000 0.000 0.000
Sr 3.613 -0.387 1.512
Br 0.932 -2.118 2.356
```

## Properties
- Size of the total moment: 2.002 μB per formula unit
- Fermi-level density of states: 5.166 states/eV per cell
- Energy above the lowest structure with this stoichiometry: 1.4 kJ per mole of atoms
- Formation energy from raw total energies: -0.15 eV per atom

***

The following is a GGA-PBEsol calculation of SrLi2Si after structural relaxation, from Alexandria.

```
4
Lattice="4.558 0.000 0.000 2.279 3.947 0.000 2.279 1.316 5.187" Properties=species:S:1:pos:R:3 pbc="T T T"
Sr 2.279 1.316 1.469
Li 6.837 3.947 3.752
Li 2.279 1.316 4.333
Si 4.558 2.631 3.459
```

## Properties
- Size of the total moment: 0.000 μB per formula unit
- Fermi-level density of states: 0.726 states/eV per cell
- Formation energy from raw total energies: -0.26 eV per atom

***

The following is a GGA-PBEsol calculation of TaTcCl after structural relaxation, from Alexandria.

```
3
Lattice="4.053 0.000 0.000 2.027 3.510 0.000 2.027 1.170 3.309" Properties=species:S:1:pos:R:3 pbc="T T T"
Tc 4.053 2.340 1.655
Ta 0.000 0.000 0.000
Cl 2.027 1.170 0.827
```

## Properties
- Size of the total moment: 0.000 μB per formula unit
- Fermi-level density of states: 2.759 states/eV per cell
- Energy above the lowest structure with this stoichiometry: 95.8 kJ per mole of atoms
- Formation energy from raw total energies: 1.10 eV per atom

***

The following is a GGA-PBEsol calculation of SiI4 after structural relaxation, from Alexandria.

```
40
Lattice="-9.124 7.592 0.528 -7.476 -9.096 1.595 1.424 0.893 11.762" Properties=species:S:1:pos:R:3 pbc="T T T"
Si -3.056 -1.791 8.084
Si -7.896 -2.828 2.748
Si -12.121 1.179 5.801
Si -1.995 -0.080 1.825
Si -7.280 2.217 11.138
Si -13.182 -0.531 12.061
Si -6.219 3.927 4.878
Si -8.957 -4.539 9.007
I -5.803 1.983 6.306
I -6.823 -4.255 10.148
I -14.005 1.150 7.362
I -5.152 -2.006 6.842
I -12.742 -2.333 13.657
I -11.385 -0.459 10.417
I -9.018 2.227 12.860
I -7.795 -0.734 4.009
I -9.373 -2.595 7.580
I -10.096 -3.056 1.701
I -7.532 -4.698 4.267
I -6.300 5.954 6.247
I -6.158 -2.839 1.025
I -2.817 -3.673 9.631
I -8.876 -6.565 7.638
I -3.792 -0.153 3.469
I -1.171 -1.761 6.524
I -12.360 3.061 4.255
I -10.024 1.394 7.044
I -2.435 1.721 0.229
I 0.129 0.331 2.969
I -15.305 -0.943 10.917
I -1.894 -2.222 0.645
I -3.082 0.290 9.351
I -7.644 4.087 9.619
I -4.436 4.126 3.215
I -13.282 1.610 13.240
I -8.353 3.643 3.737
I -7.381 0.122 9.877
I -5.080 2.444 12.184
I -10.741 -4.738 10.671
I -12.094 -0.902 4.535
```

## Properties
- Size of the total moment: 0.000 μB per formula unit
- Fermi-level density of states: 0.000 states/eV per cell
- Formation energy from raw total energies: -0.31 eV per atom

***

The following is a GGA-PBEsol calculation of BeNiIr2Pd after structural relaxation, from Alexandria.

```
5
Lattice="3.871 0.000 0.000 0.000 4.078 0.000 0.000 0.000 4.078" Properties=species:S:1:pos:R:3 pbc="T T T"
Pd 1.935 2.039 2.039
Be 0.000 0.000 0.000
Ir 0.000 0.000 2.039
Ir 0.000 2.039 0.000
Ni 1.935 0.000 0.000
```

## Properties
- Size of the total moment: 0.317 μB per formula unit
- Fermi-level density of states: 6.629 states/eV per cell
- Uncorrected energy: -33.4 eV per cell

***

The following is a GGA-PBEsol calculation of ZnSi2Ag2 after structural relaxation, from Alexandria.

```
5
Lattice="-1.136 -0.157 -3.238 -3.089 -0.990 1.132 0.105 7.272 1.432" Properties=species:S:1:pos:R:3 pbc="T T T"
Ag -1.620 5.405 0.306
Ag -2.500 0.720 -0.980
Zn 0.000 0.000 0.000
Si -1.572 3.270 -1.430
Si -2.548 2.854 0.756
```

## Properties
- Size of the total moment: 0.000 μB per formula unit
- Fermi-level density of states: 1.762 states/eV per cell
- Formation energy from raw total energies: 0.25 eV per atom

***

The following is a GGA-PBEsol calculation of Ca2ScMo2 after structural relaxation, from Alexandria.

```
5
Lattice="3.486 0.000 0.000 0.000 3.486 0.000 -1.743 -1.743 11.052" Properties=species:S:1:pos:R:3 pbc="T T T"
Ca 1.743 1.743 2.735
Ca 0.000 0.000 8.317
Mo 0.000 1.743 5.526
Mo 1.743 0.000 5.526
Sc 0.000 0.000 0.000
```

## Properties
- Size of the total moment: 0.368 μB per formula unit
- Fermi-level density of states: 7.924 states/eV per cell
- Uncorrected energy: -31.0 eV per cell

***

The following is a GGA-PBEsol calculation of ErCoC2 after structural relaxation, from Alexandria.

```
4
Lattice="3.690 0.012 0.000 -1.008 3.549 0.000 0.000 0.000 3.463" Properties=species:S:1:pos:R:3 pbc="T T T"
C 2.708 1.616 1.732
C 1.876 0.512 1.732
Er -0.972 3.522 0.000
Co 0.831 2.164 1.732
```

## Properties
- Size of the total moment: 0.000 μB per formula unit
- Fermi-level density of states: 1.540 states/eV per cell
- Uncorrected energy: -33.7 eV per cell

***

The following is a GGA-PBEsol calculation of Dy2AgOs after structural relaxation, from Alexandria.

```
4
Lattice="-4.671 -0.929 -0.978 -1.276 -1.711 -4.369 -1.520 -4.595 -0.462" Properties=species:S:1:pos:R:3 pbc="T T T"
Dy -5.600 -5.426 -4.356
Dy -1.867 -1.809 -1.452
Ag -3.733 -3.617 -2.904
Os 0.000 0.000 0.000
```

## Properties
- Size of the total moment: 0.000 μB per formula unit
- Fermi-level density of states: 2.038 states/eV per cell
- Uncorrected energy: -26.6 eV per cell

***

The following is a GGA-PBEsol calculation of LiCd after structural relaxation, from Alexandria.

```
4
Lattice="3.264 0.000 0.000 0.000 3.264 0.000 0.000 0.000 6.717" Properties=species:S:1:pos:R:3 pbc="T T T"
Li 0.000 1.632 4.168
Li 1.632 0.000 2.549
Cd 1.632 0.000 5.725
Cd 0.000 1.632 0.992
```

## Properties
- Size of the total moment: 0.000 μB per formula unit
- Fermi-level density of states: 1.392 states/eV per cell
- Uncorrected energy: -7.1 eV per cell

***

The following is a GGA-PBEsol calculation of KCo2Ru after structural relaxation, from Alexandria.

```
4
Lattice="2.614 0.000 0.000 -1.307 4.062 -0.002 0.000 -0.469 6.663" Properties=species:S:1:pos:R:3 pbc="T T T"
Co 1.307 1.757 5.727
Co 0.000 1.837 0.935
Ru 1.307 0.000 0.000
K 0.000 -0.234 3.332
```

## Properties
- Size of the total moment: 2.166 μB per formula unit
- Fermi-level density of states: 5.634 states/eV per cell
- Energy above the lowest structure with this stoichiometry: 5.3 kJ per mole of atoms

***

The following is a GGA-PBEsol calculation of Bi4I3Br after structural relaxation, from Alexandria.

```
16
Lattice="-1.466 -3.880 -1.202 4.789 2.261 -5.378 14.778 -8.545 9.567" Properties=species:S:1:pos:R:3 pbc="T T T"
Br 3.431 -3.492 -0.667
Br 13.005 -5.710 2.576
Bi 1.232 -1.934 -3.018
Bi 9.932 -4.220 1.514
Bi 2.573 -1.312 1.097
Bi 0.594 0.026 -0.808
Bi 14.071 -9.141 4.596
Bi 7.336 -2.935 0.531
Bi 10.182 -5.955 -0.948
Bi 12.749 -7.246 0.090
I 4.985 -0.824 -3.419
I 7.099 -4.408 -2.183
I 6.046 -5.316 2.033
I 16.570 -7.459 3.876
I 9.432 -7.211 4.020
I 13.005 -6.915 6.466
```

## Properties
- Size of the total moment: 0.000 μB per formula unit
- Formation energy from raw total energies: -0.31 eV per atom

***

The following is a GGA-PBEsol calculation of LiPt4 after structural relaxation, from Alexandria.

```
5
Lattice="-3.730 -0.951 0.498 -0.680 -4.206 2.002 -1.816 1.361 4.124" Properties=species:S:1:pos:R:3 pbc="T T T"
Li 0.000 0.000 0.000
Pt -4.611 -3.341 4.466
Pt -3.016 -2.814 2.293
Pt -1.615 -0.455 2.159
Pt -3.211 -0.981 4.332
```

## Properties
- Size of the total moment: 0.000 μB per formula unit
- Fermi-level density of states: 5.076 states/eV per cell
- Uncorrected energy: -31.1 eV per cell

***

The following is a GGA-PBEsol calculation of K3BaIr after structural relaxation, from Alexandria.

```
5
Lattice="6.169 0.000 0.000 0.000 6.169 0.000 0.000 0.000 6.169" Properties=species:S:1:pos:R:3 pbc="T T T"
K 3.085 0.000 0.000
K 0.000 3.085 0.000
K 0.000 0.000 3.085
Ba 3.085 3.085 3.085
Ir 0.000 0.000 0.000
```

## Properties
- Size of the total moment: 0.088 μB per formula unit
- Fermi-level density of states: 4.453 states/eV per cell
- Energy above the lowest structure with this stoichiometry: 0.0 kJ per mole of atoms